The following is a GGA+U calculation of a geometry-optimized Fe2Te4ClO12 structure, from Alexandria.

abc: 5.270 6.549 9.937
angles: 80.47 88.87 69.46
Site moments in Bohr magnetons follow the coordinates.
Sites, in units of the cell vectors:
Te1 0.225 0.602 0.207  -0.01
Te2 0.775 0.398 0.793  -0.01
Te3 0.815 0.128 0.316  -0.02
Te4 0.185 0.872 0.684  -0.02
Fe1 0.687 0.627 0.439  4.30
Fe2 0.313 0.373 0.561  4.30
O1 0.971 0.903 0.177  -0.09
O2 0.029 0.097 0.823  -0.09
O3 0.082 0.489 0.370  0.08
O4 0.918 0.511 0.630  0.08
O5 0.495 0.283 0.196  -0.02
O6 0.505 0.717 0.804  -0.02
O7 0.510 0.689 0.255  0.07
O8 0.490 0.311 0.745  0.07
O9 0.268 0.093 0.568  0.07
O10 0.732 0.907 0.432  0.07
O11 0.655 0.322 0.459  0.09
O12 0.345 0.678 0.541  0.09
Cl1 0.000 0.500 0.000  0.03

total DFT energy (no corrections): -103.15 eV/cell